No. 1
# PBE-GGA GdScCo, optimized geometry
data_GdScCo
_space_group_name_H-M_alt 'P 1'
_space_group_IT_number 1
_space_group_name_Hall 'P 1'
_cell_length_a 3.255
_cell_length_b 3.255
_cell_length_c 6.515
_cell_angle_alpha 104.47
_cell_angle_beta 104.47
_cell_angle_gamma 90.00
loop_
_atom_site_label
_atom_site_fract_x
_atom_site_fract_y
_atom_site_fract_z
Sc1 0.292 0.292 0.583
Gd1 0.032 0.032 0.063
Co1 0.677 0.677 0.353
# Polymorph energy (0 for the lowest one) in eV/atom: 0.000
# Formation energy from the elements in meV per atom: -138

---

No. 2
# PBE-GGA TcAsAu2, optimized geometry
data_TcAsAu2
_space_group_name_H-M_alt 'P 1'
_space_group_IT_number 1
_space_group_name_Hall 'P 1'
_cell_length_a 5.075
_cell_length_b 5.075
_cell_length_c 2.748
_cell_angle_alpha 90.00
_cell_angle_beta 90.00
_cell_angle_gamma 90.00
loop_
_atom_site_label
_atom_site_fract_x
_atom_site_fract_y
_atom_site_fract_z
As1 0.000 0.500 0.500
Au1 0.000 0.000 0.000
Au2 0.500 0.500 0.000
Tc1 0.500 0.000 0.500
# Formation energy from the elements in meV per atom: 507

---

No. 3
# PBE-GGA KBa3Ta2O9, optimized geometry
data_KBa3Ta2O9
_space_group_name_H-M_alt 'P 1'
_space_group_IT_number 1
_space_group_name_Hall 'P 1'
_cell_length_a 5.987
_cell_length_b 5.987
_cell_length_c 8.186
_cell_angle_alpha 90.00
_cell_angle_beta 90.00
_cell_angle_gamma 120.00
loop_
_atom_site_label
_atom_site_fract_x
_atom_site_fract_y
_atom_site_fract_z
K1 0.000 0.000 0.500
Ba1 0.333 0.667 0.715
Ba2 0.000 0.000 0.000
Ba3 0.667 0.333 0.285
Ta1 0.333 0.667 0.160
Ta2 0.667 0.333 0.840
O1 0.824 0.176 0.721
O2 0.824 0.648 0.721
O3 0.352 0.176 0.721
O4 0.648 0.824 0.279
O5 0.176 0.352 0.279
O6 0.176 0.824 0.279
O7 0.500 0.000 0.000
O8 0.000 0.500 0.000
O9 0.500 0.500 0.000
# ΔE_f (raw) in eV per atom: -2.6558

---

No. 4
# PBE-GGA ScRe3Tc, optimized geometry
data_ScRe3Tc
_space_group_name_H-M_alt 'P 1'
_space_group_IT_number 1
_space_group_name_Hall 'P 1'
_cell_length_a 4.499
_cell_length_b 4.499
_cell_length_c 4.499
_cell_angle_alpha 90.00
_cell_angle_beta 90.00
_cell_angle_gamma 90.00
loop_
_atom_site_label
_atom_site_fract_x
_atom_site_fract_y
_atom_site_fract_z
Sc1 0.000 0.000 0.000
Re1 0.000 0.500 0.000
Re2 0.000 0.000 0.500
Re3 0.500 0.000 0.000
Tc1 0.500 0.500 0.500
# Polymorph energy (0 for the lowest one) in eV/atom: 1.000
# Formation energy from the elements in meV per atom: 2500

---

No. 5
Below is crystalline Na2AgH6Au at its relaxed geometry, with properties calculated at the PBE-GGA level.

Cell and atoms, written as CIF:
```
data_Na2AgH6Au
_space_group_name_H-M_alt 'P 1'
_space_group_IT_number 1
_space_group_name_Hall 'P 1'
_cell_length_a 5.318
_cell_length_b 5.318
_cell_length_c 5.355
_cell_angle_alpha 119.67
_cell_angle_beta 119.67
_cell_angle_gamma 90.02
loop_
_atom_site_label
_atom_site_fract_x
_atom_site_fract_y
_atom_site_fract_z
Na1 0.750 0.250 0.500
Na2 0.250 0.750 0.500
Ag1 0.500 0.500 0.000
H1 0.765 0.765 0.001
H2 0.736 0.737 0.472
H3 0.235 0.235 0.999
H4 0.765 0.236 0.000
H5 0.263 0.264 0.527
H6 0.235 0.765 0.000
Au1 0.000 0.000 0.000
```

---

No. 6
# PBE-GGA Ce2HfAlN5, optimized geometry
data_Ce2HfAlN5
_space_group_name_H-M_alt 'P 1'
_space_group_IT_number 1
_space_group_name_Hall 'P 1'
_cell_length_a 3.333
_cell_length_b 6.980
_cell_length_c 10.176
_cell_angle_alpha 90.00
_cell_angle_beta 90.00
_cell_angle_gamma 103.81
loop_
_atom_site_label
_atom_site_fract_x
_atom_site_fract_y
_atom_site_fract_z
Ce1 0.870 0.739 0.789
Ce2 0.117 0.234 0.694
Ce3 0.130 0.261 0.289
Ce4 0.883 0.766 0.194
Hf1 0.789 0.578 0.500
Hf2 0.211 0.422 0.000
Al1 0.512 0.023 0.978
Al2 0.488 0.977 0.478
N1 0.369 0.737 0.015
N2 0.699 0.399 0.864
N3 0.496 0.991 0.788
N4 0.287 0.573 0.652
N5 0.948 0.896 0.544
N6 0.631 0.263 0.515
N7 0.301 0.601 0.364
N8 0.504 0.009 0.288
N9 0.713 0.427 0.152
N10 0.052 0.104 0.044
# ΔE_f (raw) in eV per atom: -1.3957

---

No. 7
# PBE-GGA AgMoP2, optimized geometry
data_AgMoP2
_space_group_name_H-M_alt 'P 1'
_space_group_IT_number 1
_space_group_name_Hall 'P 1'
_cell_length_a 3.150
_cell_length_b 3.148
_cell_length_c 6.983
_cell_angle_alpha 63.32
_cell_angle_beta 90.00
_cell_angle_gamma 90.00
loop_
_atom_site_label
_atom_site_fract_x
_atom_site_fract_y
_atom_site_fract_z
Ag1 0.500 0.250 0.250
Mo1 0.500 0.750 0.750
P1 0.000 0.042 0.959
P2 0.000 0.458 0.541
# Polymorph energy (0 for the lowest one) in eV/atom: 0.003
# Formation energy from the elements in meV per atom: -61

---

No. 8
# PBE-GGA Ta2CdOs, optimized geometry
data_Ta2CdOs
_space_group_name_H-M_alt 'P 1'
_space_group_IT_number 1
_space_group_name_Hall 'P 1'
_cell_length_a 3.136
_cell_length_b 3.687
_cell_length_c 6.190
_cell_angle_alpha 90.00
_cell_angle_beta 90.00
_cell_angle_gamma 90.00
loop_
_atom_site_label
_atom_site_fract_x
_atom_site_fract_y
_atom_site_fract_z
Cd1 0.000 0.000 0.506
Os1 0.500 0.500 0.781
Ta1 0.000 0.000 0.983
Ta2 0.500 0.500 0.230
# Formation energy from the elements in meV per atom: 177

---

No. 9
# PBE-GGA CaMg2Ag, optimized geometry
data_CaMg2Ag
_space_group_name_H-M_alt 'P 1'
_space_group_IT_number 1
_space_group_name_Hall 'P 1'
_cell_length_a 6.215
_cell_length_b 6.215
_cell_length_c 5.336
_cell_angle_alpha 64.57
_cell_angle_beta 64.57
_cell_angle_gamma 32.21
loop_
_atom_site_label
_atom_site_fract_x
_atom_site_fract_y
_atom_site_fract_z
Ca1 0.250 0.250 0.250
Mg1 0.036 0.036 0.964
Mg2 0.464 0.464 0.536
Ag1 0.750 0.750 0.750
# Formation energy from the elements in meV per atom: -144

---

No. 10
# PBE-GGA NbTlSe2, optimized geometry
data_NbTlSe2
_space_group_name_H-M_alt 'P 1'
_space_group_IT_number 1
_space_group_name_Hall 'P 1'
_cell_length_a 7.154
_cell_length_b 7.154
_cell_length_c 6.095
_cell_angle_alpha 54.07
_cell_angle_beta 54.07
_cell_angle_gamma 90.00
loop_
_atom_site_label
_atom_site_fract_x
_atom_site_fract_y
_atom_site_fract_z
Tl1 0.750 0.250 0.500
Tl2 0.250 0.750 0.500
Nb1 0.750 0.750 0.500
Nb2 0.250 0.250 0.500
Se1 0.750 0.250 0.000
Se2 0.250 0.750 0.000
Se3 0.250 0.250 0.000
Se4 0.750 0.750 0.000
# ΔE_f (raw) in eV per atom: 0.1635

---

No. 11
# PBE-GGA PrNdTlIr, optimized geometry
data_PrNdTlIr
_space_group_name_H-M_alt 'P 1'
_space_group_IT_number 1
_space_group_name_Hall 'P 1'
_cell_length_a 5.282
_cell_length_b 5.282
_cell_length_c 5.282
_cell_angle_alpha 60.00
_cell_angle_beta 60.00
_cell_angle_gamma 60.00
loop_
_atom_site_label
_atom_site_fract_x
_atom_site_fract_y
_atom_site_fract_z
Pr1 0.250 0.250 0.250
Tl1 0.500 0.500 0.500
Ir1 0.000 0.000 0.000
Nd1 0.750 0.750 0.750
# Formation energy from the elements in meV per atom: -339

---

No. 12
# PBE-GGA RbAu2F8, optimized geometry
data_RbAu2F8
_space_group_name_H-M_alt 'P 1'
_space_group_IT_number 1
_space_group_name_Hall 'P 1'
_cell_length_a 4.743
_cell_length_b 6.973
_cell_length_c 6.973
_cell_angle_alpha 57.04
_cell_angle_beta 87.82
_cell_angle_gamma 87.82
loop_
_atom_site_label
_atom_site_fract_x
_atom_site_fract_y
_atom_site_fract_z
Rb1 0.000 0.000 0.000
Au1 0.586 0.348 0.348
Au2 0.414 0.652 0.652
F1 0.588 0.064 0.650
F2 0.412 0.350 0.936
F3 0.916 0.249 0.249
F4 0.084 0.751 0.751
F5 0.588 0.650 0.064
F6 0.412 0.936 0.350
F7 0.247 0.444 0.444
F8 0.753 0.556 0.556
# ΔE_f (raw) in eV per atom: -1.3548

---

No. 13
# PBE-GGA SbCl6O2, optimized geometry
data_SbCl6O2
_space_group_name_H-M_alt 'P 1'
_space_group_IT_number 1
_space_group_name_Hall 'P 1'
_cell_length_a 7.401
_cell_length_b 7.401
_cell_length_c 7.401
_cell_angle_alpha 125.61
_cell_angle_beta 112.25
_cell_angle_gamma 92.24
loop_
_atom_site_label
_atom_site_fract_x
_atom_site_fract_y
_atom_site_fract_z
Sb1 0.000 0.000 0.000
Cl1 0.708 0.000 0.708
Cl2 0.292 0.000 0.292
Cl3 0.166 0.918 0.751
Cl4 0.834 0.585 0.751
Cl5 0.166 0.415 0.249
Cl6 0.834 0.082 0.249
O1 0.574 0.500 0.074
O2 0.426 0.500 0.926
# Polymorph energy (0 for the lowest one) in eV/atom: 0.000
# ΔE_f (raw) in eV per atom: -0.3544

---

No. 14
# PBE-GGA BeCu2As, optimized geometry
data_BeCu2As
_space_group_name_H-M_alt 'P 1'
_space_group_IT_number 1
_space_group_name_Hall 'P 1'
_cell_length_a 4.191
_cell_length_b 4.191
_cell_length_c 4.191
_cell_angle_alpha 60.00
_cell_angle_beta 60.00
_cell_angle_gamma 60.00
loop_
_atom_site_label
_atom_site_fract_x
_atom_site_fract_y
_atom_site_fract_z
Be1 0.750 0.750 0.750
As1 0.500 0.500 0.500
Cu1 0.000 0.000 0.000
Cu2 0.250 0.250 0.250
# Polymorph energy (0 for the lowest one) in eV/atom: 0.160
# Formation energy from the elements in meV per atom: 276

---

No. 15
# PBE-GGA Li3Ac2As4Rh, optimized geometry
data_Li3Ac2As4Rh
_space_group_name_H-M_alt 'P 1'
_space_group_IT_number 1
_space_group_name_Hall 'P 1'
_cell_length_a 4.502
_cell_length_b 4.502
_cell_length_c 9.965
_cell_angle_alpha 90.00
_cell_angle_beta 90.00
_cell_angle_gamma 90.00
loop_
_atom_site_label
_atom_site_fract_x
_atom_site_fract_y
_atom_site_fract_z
Li1 0.000 0.000 0.500
Li2 0.500 0.000 0.878
Li3 0.000 0.500 0.122
Ac1 0.500 0.000 0.257
Ac2 0.000 0.500 0.743
As1 0.500 0.500 0.000
As2 0.000 0.000 0.000
As3 0.500 0.000 0.624
As4 0.000 0.500 0.376
Rh1 0.500 0.500 0.500
# Formation energy from the elements in meV per atom: -892

---

No. 16
# PBE-GGA Tb4NdAg5, optimized geometry
data_Tb4NdAg5
_space_group_name_H-M_alt 'P 1'
_space_group_IT_number 1
_space_group_name_Hall 'P 1'
_cell_length_a 3.641
_cell_length_b 3.641
_cell_length_c 18.672
_cell_angle_alpha 90.00
_cell_angle_beta 90.00
_cell_angle_gamma 90.00
loop_
_atom_site_label
_atom_site_fract_x
_atom_site_fract_y
_atom_site_fract_z
Tb1 0.000 0.000 0.204
Tb2 0.000 0.000 0.401
Tb3 0.000 0.000 0.599
Tb4 0.000 0.000 0.796
Nd1 0.000 0.000 0.000
Ag1 0.500 0.500 0.108
Ag2 0.500 0.500 0.302
Ag3 0.500 0.500 0.500
Ag4 0.500 0.500 0.698
Ag5 0.500 0.500 0.892
# Formation energy from the elements in meV per atom: -306

---

No. 17
# PBE-GGA RbBeCo3, optimized geometry
data_RbBeCo3
_space_group_name_H-M_alt 'P 1'
_space_group_IT_number 1
_space_group_name_Hall 'P 1'
_cell_length_a 4.283
_cell_length_b 4.283
_cell_length_c 4.283
_cell_angle_alpha 90.00
_cell_angle_beta 90.00
_cell_angle_gamma 90.00
loop_
_atom_site_label
_atom_site_fract_x
_atom_site_fract_y
_atom_site_fract_z
Be1 0.000 0.000 0.000
Co1 0.000 0.500 0.000
Co2 0.000 0.000 0.500
Co3 0.500 0.000 0.000
Rb1 0.500 0.500 0.500
# Polymorph energy (0 for the lowest one) in eV/atom: 0.000
# Formation energy from the elements in meV per atom: 1134

---

No. 18
# PBE-GGA RbC3O, optimized geometry
data_RbC3O
_space_group_name_H-M_alt 'P 1'
_space_group_IT_number 1
_space_group_name_Hall 'P 1'
_cell_length_a 4.097
_cell_length_b 4.097
_cell_length_c 4.097
_cell_angle_alpha 90.00
_cell_angle_beta 90.00
_cell_angle_gamma 90.00
loop_
_atom_site_label
_atom_site_fract_x
_atom_site_fract_y
_atom_site_fract_z
C1 0.000 0.500 0.000
C2 0.000 0.000 0.500
C3 0.500 0.000 0.000
O1 0.000 0.000 0.000
Rb1 0.500 0.500 0.500
# Polymorph energy (0 for the lowest one) in eV/atom: 0.000
# ΔE_f (raw) in eV per atom: 3.3169

---

No. 19
# PBE-GGA RbTi2TlI, optimized geometry
data_RbTi2TlI
_space_group_name_H-M_alt 'P 1'
_space_group_IT_number 1
_space_group_name_Hall 'P 1'
_cell_length_a 5.743
_cell_length_b 6.505
_cell_length_c 5.743
_cell_angle_alpha 90.00
_cell_angle_beta 90.00
_cell_angle_gamma 90.00
loop_
_atom_site_label
_atom_site_fract_x
_atom_site_fract_y
_atom_site_fract_z
I1 0.500 0.500 0.500
Tl1 0.000 0.500 0.000
Rb1 0.000 0.000 0.000
Ti1 0.000 0.000 0.500
Ti2 0.500 0.000 0.000
# ΔE_f (raw) in eV per atom: 1.7010

---

No. 20
# PBE-GGA SrCr2Rh, optimized geometry
data_SrCr2Rh
_space_group_name_H-M_alt 'P 1'
_space_group_IT_number 1
_space_group_name_Hall 'P 1'
_cell_length_a 4.289
_cell_length_b 4.289
_cell_length_c 4.382
_cell_angle_alpha 90.00
_cell_angle_beta 90.00
_cell_angle_gamma 90.00
loop_
_atom_site_label
_atom_site_fract_x
_atom_site_fract_y
_atom_site_fract_z
Cr1 0.000 0.000 0.000
Cr2 0.500 0.500 0.000
Rh1 0.500 0.000 0.500
Sr1 0.000 0.500 0.500
# Polymorph energy (0 for the lowest one) in eV/atom: 0.474
# Formation energy from the elements in meV per atom: 743

---

no.,total magnetic moment (μB/f.u.),final energy (eV per atom)
1,6.5,-9.31
2,0.8,-4.89
3,1.0,-7.67
4,0.0,-8.31
5,0.0,-2.92
6,0.0,-8.86
7,0.0,-6.19
8,0.0,-8.79
9,0.0,-2.15
10,1.6,-4.69
11,0.0,-5.53
12,1.1,-3.40
13,1.1,-3.15
14,0.0,-3.87
15,0.0,-4.88
16,0.0,-4.06
17,3.7,-4.07
18,0.0,-3.40
19,7.1,-2.43
20,8.7,-6.33